Entry 1:
The following is a DFT calculation (PBE) of an optimized crystal structure of Y3PPbO.

Unit cell a=8.855 b=3.992 c=8.961 alpha=90.00 beta=103.82 gamma=90.00
Fractional positions:
Y 0.065 0.250 0.342
Y 0.336 0.250 0.979
Y 0.379 0.750 0.649
Y 0.621 0.250 0.351
Y 0.664 0.750 0.021
Y 0.935 0.750 0.658
P 0.156 0.250 0.662
P 0.844 0.750 0.338
Pb 0.316 0.750 0.274
Pb 0.684 0.250 0.726
O 0.411 0.750 0.905
O 0.589 0.250 0.095

Output
Fermi-level density of states   2.3 states/eV/f.u.
ρ   5.62 Mg/m³
E_form (uncorrected)   -1.6895 eV per atom



Entry 2:
The following is a DFT calculation (PBE) of an optimized crystal structure of YP2PbO8.

Unit cell a=5.424 b=5.424 c=7.402 alpha=90.00 beta=90.00 gamma=120.00
Fractional positions:
Y 0.000 0.000 0.000
P 0.333 0.667 0.272
P 0.667 0.333 0.728
Pb 0.000 0.000 0.500
O 0.176 0.356 0.203
O 0.180 0.824 0.203
O 0.333 0.667 0.482
O 0.356 0.180 0.797
O 0.644 0.820 0.203
O 0.667 0.333 0.518
O 0.820 0.176 0.797
O 0.824 0.644 0.797

Output
Fermi-level density of states   9.0 states/eV/f.u.
ρ   4.28 Mg/m³
E_form (uncorrected)   -2.2851 eV per atom



Entry 3:
The following is a DFT calculation (PBE) of an optimized crystal structure of YP2PbO.

Unit cell a=5.649 b=5.649 c=4.395 alpha=90.00 beta=90.00 gamma=90.00
Fractional positions:
Y 0.000 0.000 0.000
P 0.000 0.500 0.000
P 0.500 0.000 0.000
Pb 0.500 0.500 0.500
O 0.000 0.000 0.500

Output
Fermi-level density of states   4.6 states/eV/f.u.
ρ   4.43 Mg/m³
E_form (uncorrected)   -0.2721 eV per atom



Entry 4:
The following is a DFT calculation (PBE) of an optimized crystal structure of ZnP2PbO8.

Unit cell a=5.273 b=5.273 c=7.153 alpha=90.00 beta=90.00 gamma=120.00
Fractional positions:
Zn 0.000 0.000 0.000
P 0.333 0.667 0.253
P 0.667 0.333 0.747
Pb 0.000 0.000 0.500
O 0.170 0.344 0.189
O 0.174 0.830 0.189
O 0.333 0.667 0.470
O 0.344 0.174 0.811
O 0.656 0.826 0.189
O 0.667 0.333 0.530
O 0.826 0.170 0.811
O 0.830 0.656 0.811

Output
Fermi-level density of states   8.3 states/eV/f.u.
ρ   4.46 Mg/m³
E_form (uncorrected)   -1.6214 eV per atom